Record 1
Ca2IrW: relaxed, PBE.

Distance to the lowest polymorph of the same formula: 514 meV/atom
Energy of formation: 0.563 eV/atom
Electronic total energy: -5.89 eV per atom
Magnetic moment: 0.00 μB per cell

Lattice parameters (Å, degrees): 4.868 2.992 5.901 67.74 90.00 90.00
Atoms (fractional coordinates):
1 Ca 0.000 0.039 0.007
2 Ca 0.000 0.461 0.493
3 Ir 0.500 0.250 0.250
4 W 0.500 0.750 0.750

***

Record 2
CaIr2W: relaxed, PBE.

Distance to the lowest polymorph of the same formula: 371 meV/atom
Energy of formation: 0.200 eV/atom
Electronic total energy: -7.97 eV per atom
Magnetic moment: 0.00 μB per cell

Lattice parameters (Å, degrees): 4.581 4.581 4.581 60.00 60.00 60.00
Atoms (fractional coordinates):
1 Ca 0.000 0.000 0.000
2 Ir 0.250 0.250 0.250
3 Ir 0.750 0.750 0.750
4 W 0.500 0.500 0.500

***

Record 3
CaIr2W: relaxed, PBE.

Distance to the lowest polymorph of the same formula: 425 meV/atom
Energy of formation: 0.254 eV/atom
Electronic total energy: -7.92 eV per atom
Magnetic moment: 0.00 μB per cell

Lattice parameters (Å, degrees): 3.569 4.362 4.362 90.00 90.00 90.00
Atoms (fractional coordinates):
1 Ca 0.500 0.000 0.500
2 Ir 0.000 0.000 0.000
3 Ir 0.000 0.500 0.500
4 W 0.500 0.500 0.000

***

Record 4
CaIr2W: relaxed, PBE.

Distance to the lowest polymorph of the same formula: 205 meV/atom
Energy of formation: 0.034 eV/atom
Electronic total energy: -8.14 eV per atom
Magnetic moment: 0.00 μB per cell

Lattice parameters (Å, degrees): 5.456 5.456 4.813 75.50 75.50 29.88
Atoms (fractional coordinates):
1 Ca 0.263 0.263 0.201
2 Ir 0.027 0.027 0.026
3 Ir 0.742 0.742 0.707
4 W 0.468 0.468 0.566

***

Record 5
Ca2YIr2: relaxed, PBE.

Energy of formation: -0.386 eV/atom
Electronic total energy: -6.02 eV per atom
Magnetic moment: 0.00 μB per cell

Lattice parameters (Å, degrees): 7.261 7.261 4.583 90.00 90.00 90.00
Atoms (fractional coordinates):
1 Y 0.000 0.000 0.000
2 Y 0.500 0.500 0.000
3 Ca 0.168 0.668 0.500
4 Ca 0.668 0.832 0.500
5 Ca 0.832 0.332 0.500
6 Ca 0.332 0.168 0.500
7 Ir 0.377 0.877 0.000
8 Ir 0.877 0.623 0.000
9 Ir 0.623 0.123 0.000
10 Ir 0.123 0.377 0.000

***

Record 6
CaYIr2: relaxed, PBE.

Energy of formation: -0.223 eV/atom
Electronic total energy: -6.77 eV per atom
Magnetic moment: 0.00 μB per cell

Lattice parameters (Å, degrees): 5.582 5.582 5.582 136.91 136.91 62.57
Atoms (fractional coordinates):
1 Y 0.500 0.500 0.000
2 Ca 0.750 0.250 0.500
3 Ir 0.000 0.000 0.000
4 Ir 0.250 0.750 0.500

***

Record 7
CaYIr2: relaxed, PBE.

Energy of formation: -0.039 eV/atom
Electronic total energy: -6.59 eV per atom
Magnetic moment: 0.52 μB per cell

Lattice parameters (Å, degrees): 3.508 3.508 7.981 90.00 90.00 90.00
Site moments in Bohr magnetons follow the coordinates.
Atoms (fractional coordinates):
1 Y 0.000 0.000 0.416  0.00
2 Ca 0.500 0.500 0.818  0.00
3 Ir 0.000 0.000 0.079  -0.25
4 Ir 0.500 0.500 0.186  -0.23

***

Record 8
CaYIr2: relaxed, PBE.

Energy of formation: -0.426 eV/atom
Electronic total energy: -6.97 eV per atom
Magnetic moment: 0.00 μB per cell

Lattice parameters (Å, degrees): 7.418 7.418 7.418 33.85 33.85 33.85
Atoms (fractional coordinates):
1 Y 0.543 0.543 0.543
2 Ca 0.714 0.714 0.714
3 Ir 0.954 0.954 0.954
4 Ir 0.288 0.288 0.288

***

Record 9
CaYIr2: relaxed, PBE.

Energy of formation: -0.460 eV/atom
Electronic total energy: -7.01 eV per atom
Magnetic moment: 0.00 μB per cell

Lattice parameters (Å, degrees): 3.375 3.374 7.851 64.55 90.00 90.00
Atoms (fractional coordinates):
1 Y 0.500 0.250 0.250
2 Ca 0.500 0.750 0.750
3 Ir 0.000 0.989 0.011
4 Ir 0.000 0.511 0.489

***

Record 10
CaYIr2: relaxed, PBE.

Energy of formation: -0.053 eV/atom
Electronic total energy: -6.60 eV per atom
Magnetic moment: 0.00 μB per cell

Lattice parameters (Å, degrees): 8.841 8.841 8.841 21.85 21.85 21.85
Atoms (fractional coordinates):
1 Y 0.250 0.250 0.250
2 Ca 0.750 0.750 0.750
3 Ir 0.997 0.997 0.997
4 Ir 0.503 0.503 0.503

***

Record 11
CaYIr2: relaxed, PBE.

Energy of formation: -0.355 eV/atom
Electronic total energy: -6.90 eV per atom
Magnetic moment: 0.00 μB per cell

Lattice parameters (Å, degrees): 5.811 5.811 4.982 74.94 74.94 30.45
Atoms (fractional coordinates):
1 Y 0.471 0.471 0.560
2 Ca 0.273 0.273 0.194
3 Ir 0.036 0.036 0.020
4 Ir 0.720 0.720 0.726

***

Record 12
CaY2Ir2: relaxed, PBE.

Distance to the lowest polymorph of the same formula: 122 meV/atom
Energy of formation: -0.480 eV/atom
Electronic total energy: -7.01 eV per atom
Magnetic moment: 0.00 μB per cell

Lattice parameters (Å, degrees): 8.311 8.311 3.266 90.00 90.00 90.00
Atoms (fractional coordinates):
1 Y 0.362 0.862 0.000
2 Y 0.862 0.638 0.000
3 Y 0.638 0.138 0.000
4 Y 0.138 0.362 0.000
5 Ca 0.000 0.000 0.000
6 Ca 0.500 0.500 0.000
7 Ir 0.158 0.658 0.500
8 Ir 0.658 0.842 0.500
9 Ir 0.842 0.342 0.500
10 Ir 0.342 0.158 0.500

***

Record 13
CaY2Ir2: relaxed, PBE.

Distance to the lowest polymorph of the same formula: 0 meV/atom
Energy of formation: -0.602 eV/atom
Electronic total energy: -7.13 eV per atom
Magnetic moment: 0.00 μB per cell

Lattice parameters (Å, degrees): 7.916 7.916 3.695 90.00 90.00 90.00
Atoms (fractional coordinates):
1 Y 0.152 0.652 0.500
2 Y 0.652 0.848 0.500
3 Y 0.848 0.348 0.500
4 Y 0.348 0.152 0.500
5 Ca 0.000 0.000 0.000
6 Ca 0.500 0.500 0.000
7 Ir 0.358 0.858 0.000
8 Ir 0.858 0.642 0.000
9 Ir 0.642 0.142 0.000
10 Ir 0.142 0.358 0.000

***

Record 14
CaY2Ir2: relaxed, PBE.

Distance to the lowest polymorph of the same formula: 492 meV/atom
Energy of formation: -0.110 eV/atom
Electronic total energy: -6.64 eV per atom
Magnetic moment: 0.00 μB per cell

Lattice parameters (Å, degrees): 4.217 4.217 8.303 75.29 75.29 90.00
Atoms (fractional coordinates):
1 Y 0.363 0.363 0.274
2 Y 0.637 0.637 0.726
3 Ca 0.000 0.000 0.000
4 Ir 0.750 0.250 0.500
5 Ir 0.250 0.750 0.500

***

Record 15
CaYIr2: relaxed, PBE.

Energy of formation: -0.064 eV/atom
Electronic total energy: -6.61 eV per atom
Magnetic moment: 0.00 μB per cell

Lattice parameters (Å, degrees): 4.790 4.790 4.790 60.00 60.00 60.00
Atoms (fractional coordinates):
1 Y 0.750 0.750 0.750
2 Ca 0.500 0.500 0.500
3 Ir 0.000 0.000 0.000
4 Ir 0.250 0.250 0.250

***

Record 16
CaYIr4: relaxed, PBE.

Energy of formation: -0.642 eV/atom
Electronic total energy: -7.96 eV per atom
Magnetic moment: 0.00 μB per cell

Lattice parameters (Å, degrees): 5.364 5.364 5.364 60.00 60.00 60.00
Atoms (fractional coordinates):
1 Ca 0.000 0.000 0.000
2 Ir 0.125 0.625 0.625
3 Ir 0.625 0.625 0.625
4 Ir 0.625 0.125 0.625
5 Ir 0.625 0.625 0.125
6 Y 0.250 0.250 0.250

***

Record 17
CaYIr2: relaxed, PBE.

Energy of formation: 0.017 eV/atom
Electronic total energy: -6.53 eV per atom
Magnetic moment: 0.40 μB per cell

Lattice parameters (Å, degrees): 3.801 3.801 5.997 90.00 90.00 90.00
Site moments in Bohr magnetons follow the coordinates.
Atoms (fractional coordinates):
1 Y 0.000 0.000 0.437  -0.01
2 Ca 0.500 0.500 0.804  0.00
3 Ir 0.000 0.000 0.981  0.29
4 Ir 0.500 0.500 0.277  0.13

***

Record 18
CaYIr2: relaxed, PBE.

Energy of formation: -0.123 eV/atom
Electronic total energy: -6.67 eV per atom
Magnetic moment: 0.00 μB per cell

Lattice parameters (Å, degrees): 3.101 4.675 5.737 90.00 90.00 90.00
Atoms (fractional coordinates):
1 Y 0.000 0.000 0.440
2 Ca 0.500 0.500 0.809
3 Ir 0.000 0.000 0.953
4 Ir 0.500 0.500 0.298

***

Record 19
CaY2Ir9: relaxed, PBE.

Energy of formation: -0.482 eV/atom
Electronic total energy: -8.37 eV per atom
Magnetic moment: 0.00 μB per cell

Lattice parameters (Å, degrees): 5.331 5.331 9.276 73.30 73.30 60.00
Atoms (fractional coordinates):
1 Ca 0.000 0.000 0.000
2 Y 0.862 0.862 0.415
3 Y 0.138 0.138 0.585
4 Ir 0.667 0.667 0.998
5 Ir 0.333 0.333 0.002
6 Ir 0.500 0.500 0.500
7 Ir 0.419 0.419 0.246
8 Ir 0.917 0.419 0.246
9 Ir 0.419 0.917 0.246
10 Ir 0.581 0.581 0.754
11 Ir 0.581 0.083 0.754
12 Ir 0.083 0.581 0.754

***

Record 20
CaYIr2: relaxed, PBE.

Energy of formation: -0.343 eV/atom
Electronic total energy: -6.89 eV per atom
Magnetic moment: 0.00 μB per cell

Lattice parameters (Å, degrees): 6.311 6.311 6.311 151.53 135.38 53.78
Atoms (fractional coordinates):
1 Y 0.531 0.531 0.000
2 Ca 0.231 0.731 0.500
3 Ir 0.963 0.963 0.000
4 Ir 0.775 0.275 0.500